{
  "formula": "Y2TmCd",
  "functional": "PBE-GGA",
  "state": "relaxed",
  "cell": [[3.612, 0.000, 0.000], [1.806, 3.128, 0.000], [1.806, 1.043, 10.649]],
  "species": ["Y", "Y", "Tm", "Cd"],
  "fractional_positions": [[0.078, 0.078, 0.765], [0.255, 0.255, 0.234], [0.500, 0.500, 0.500], [0.667, 0.667, 0.000]],
  "e_form_ev_per_atom": -0.079,
  "polymorph_energy_ev_per_fu": 0.28,
  "dos_at_fermi_per_ev_cell": 5.4,
  "magmom_total_mub_per_fu": 0.8
}